1.
VASP calculation (GGA-PBE) on an optimized crystal structure of CrCo4P.

Its formation energy is 32.9 kJ per mole of atoms. For the final energy, the calculation gives -6.90 eV/atom. For the density of states at the Fermi level, the calculation gives 10.0 states/eV/f.u. As for the total magnetic moment: 8.99 μB per formula unit.

The space group is F-43m (No. 216) and the conventional cell measures 6.607, 6.607 and 6.607 Å, with angles of 90.00, 90.00 and 90.00 degrees. The distinct sites, in fractional coordinates, are Cr at (0.000, 0.000, 0.000), Co at (0.125, 0.125, 0.375) and P at (0.250, 0.250, 0.750).

---

2.
VASP calculation (GGA-PBE) on an optimized crystal structure of CrHg2.

Its formation energy is 38.1 kJ per mole of atoms. For the final energy, the calculation gives -3.01 eV/atom. For the density of states at the Fermi level, the calculation gives 1.3 states/eV/f.u. As for the total magnetic moment: 4.17 μB per formula unit.

The space group is Pnma (No. 62) and the conventional cell measures 5.763, 4.770 and 8.998 Å, with angles of 90.00, 90.00 and 90.00 degrees. The distinct sites, in fractional coordinates, are Cr at (0.175, 0.250, 0.135), Hg at (0.101, 0.250, 0.806) and Hg at (0.166, 0.250, 0.459).

---

3.
VASP calculation (GGA-PBE) on an optimized crystal structure of Rb2Cu2Pb.

Its formation energy is 27.5 kJ per mole of atoms. For the final energy, the calculation gives -2.48 eV/atom. For the density of states at the Fermi level, the calculation gives 3.3 states/eV/f.u. The offset from the most stable computed form is 0.000 eV/atom. As for the total magnetic moment: 0.00 μB per formula unit.

The space group is P4/mbm (No. 127) and the conventional cell measures 7.270, 7.270 and 5.794 Å, with angles of 90.00, 90.00 and 90.00 degrees. The distinct sites, in fractional coordinates, are Rb at (0.180, 0.320, 0.000), Cu at (0.121, 0.621, 0.500) and Pb at (0.000, 0.000, 0.500).

---

4.
VASP calculation (GGA-PBE) on an optimized crystal structure of Ir2Rh4W.

Its formation energy is -15.4 kJ per mole of atoms. For the final energy, the calculation gives -8.74 eV/atom. For the density of states at the Fermi level, the calculation gives 6.1 states/eV/f.u. As for the total magnetic moment: 0.00 μB per formula unit.

The space group is C2/m (No. 12) and the conventional cell measures 8.641, 3.879 and 6.129 Å, with angles of 90.00, 98.26 and 90.00 degrees. The distinct sites, in fractional coordinates, are Ir at (0.213, 0.000, 0.140), Rh at (0.068, 0.000, 0.718), Rh at (0.144, 0.500, 0.421) and W at (0.000, 0.500, 0.000).

---

> Which value of final energy does entry 3 give?

-2.48 eV/atom